Record 1
First-principles (PBE-GGA) data for AlCo2As after structural relaxation, as listed in the Alexandria database.

Calculated values
Excess energy over the best structure of this formula in the dataset   0.053 eV/atom
Crystal system   cubic
Space-group type   No. 225

Structure (CIF):
```
data_AlCo2As
_cell_length_a 4.108
_cell_length_b 4.108
_cell_length_c 4.108
_cell_angle_alpha 60.00
_cell_angle_beta 60.00
_cell_angle_gamma 60.00
_space_group_name_H-M_alt 'P 1'
_space_group_IT_number 1
loop_
_space_group_symop_operation_xyz
'x,y,z'
loop_
_atom_site_label
_atom_site_fract_x
_atom_site_fract_y
_atom_site_fract_z
_atom_site_occupancy
Al1 0.000 0.000 0.000 1
Co1 0.250 0.250 0.250 1
Co2 0.750 0.750 0.750 1
As1 0.500 0.500 0.500 1
```

Record 2
First-principles (PBE-GGA) data for Rb3In4Hg4 after structural relaxation, as listed in the Alexandria database.

Calculated values
Crystal system   cubic
Space-group type   No. 217
Uncorrected energy   -1.53 eV/atom

Structure (CIF):
```
data_Rb3In4Hg4
_cell_length_a 8.121
_cell_length_b 8.121
_cell_length_c 8.121
_cell_angle_alpha 109.47
_cell_angle_beta 109.47
_cell_angle_gamma 109.47
_space_group_name_H-M_alt 'P 1'
_space_group_IT_number 1
loop_
_space_group_symop_operation_xyz
'x,y,z'
loop_
_atom_site_label
_atom_site_fract_x
_atom_site_fract_y
_atom_site_fract_z
_atom_site_occupancy
Rb1 0.000 0.500 0.500 1
Rb2 0.500 0.000 0.500 1
Rb3 0.500 0.500 0.000 1
In1 0.000 0.000 0.253 1
In2 0.000 0.253 0.000 1
In3 0.253 0.000 0.000 1
In4 0.747 0.747 0.747 1
Hg1 0.000 0.000 0.619 1
Hg2 0.000 0.619 0.000 1
Hg3 0.381 0.381 0.381 1
Hg4 0.619 0.000 0.000 1
```

Record 3
First-principles (PBE-GGA) data for NdY2Sc4 after structural relaxation, as listed in the Alexandria database.

Calculated values
Excess energy over the best structure of this formula in the dataset   0.000 eV/atom
Crystal system   triclinic
Space-group type   No. 1

Structure (CIF):
```
data_NdY2Sc4
_cell_length_a 5.919
_cell_length_b 7.630
_cell_length_c 8.997
_cell_angle_alpha 90.19
_cell_angle_beta 90.14
_cell_angle_gamma 105.17
_space_group_name_H-M_alt 'P 1'
_space_group_IT_number 1
loop_
_space_group_symop_operation_xyz
'x,y,z'
loop_
_atom_site_label
_atom_site_fract_x
_atom_site_fract_y
_atom_site_fract_z
_atom_site_occupancy
Nd1 0.000 0.000 0.000 1
Nd2 0.429 0.775 0.072 1
Y1 0.003 0.493 0.508 1
Y2 0.148 0.939 0.366 1
Y3 0.576 0.222 0.931 1
Y4 0.577 0.714 0.437 1
Sc1 0.146 0.430 0.858 1
Sc2 0.289 0.358 0.220 1
Sc3 0.289 0.857 0.717 1
Sc4 0.433 0.284 0.579 1
Sc5 0.715 0.151 0.294 1
Sc6 0.718 0.642 0.787 1
Sc7 0.859 0.072 0.648 1
Sc8 0.862 0.563 0.147 1
```

Record 4
First-principles (PBE-GGA) data for IrRhN2O after structural relaxation, as listed in the Alexandria database.

Calculated values
Crystal system   tetragonal
Formation energy without anion corrections   5.820 eV/f.u.
Space-group type   No. 123

Structure (CIF):
```
data_IrRhN2O
_cell_length_a 3.798
_cell_length_b 3.798
_cell_length_c 4.154
_cell_angle_alpha 90.00
_cell_angle_beta 90.00
_cell_angle_gamma 90.00
_space_group_name_H-M_alt 'P 1'
_space_group_IT_number 1
loop_
_space_group_symop_operation_xyz
'x,y,z'
loop_
_atom_site_label
_atom_site_fract_x
_atom_site_fract_y
_atom_site_fract_z
_atom_site_occupancy
Ir1 0.000 0.000 0.000 1
Rh1 0.500 0.500 0.500 1
N1 0.000 0.500 0.000 1
N2 0.500 0.000 0.000 1
O1 0.000 0.000 0.500 1
```

Record 5
First-principles (PBE-GGA) data for Ba2NaCoGe after structural relaxation, as listed in the Alexandria database.

Calculated values
Crystal system   tetragonal
Space-group type   No. 123
Uncorrected energy   -3.29 eV/atom

Structure (CIF):
```
data_Ba2NaCoGe
_cell_length_a 6.511
_cell_length_b 6.511
_cell_length_c 4.513
_cell_angle_alpha 90.00
_cell_angle_beta 90.00
_cell_angle_gamma 90.00
_space_group_name_H-M_alt 'P 1'
_space_group_IT_number 1
loop_
_space_group_symop_operation_xyz
'x,y,z'
loop_
_atom_site_label
_atom_site_fract_x
_atom_site_fract_y
_atom_site_fract_z
_atom_site_occupancy
Ba1 0.000 0.500 0.000 1
Ba2 0.500 0.000 0.000 1
Na1 0.000 0.000 0.500 1
Co1 0.500 0.500 0.500 1
Ge1 0.500 0.500 0.000 1
```

Record 6
First-principles (PBE-GGA) data for Dy3Si2Os2 after structural relaxation, as listed in the Alexandria database.

Calculated values
Crystal system   orthorhombic
Formation energy without anion corrections   -4.476 eV/f.u.
Space-group type   No. 57

Structure (CIF):
```
data_Dy3Si2Os2
_cell_length_a 5.605
_cell_length_b 7.584
_cell_length_c 13.446
_cell_angle_alpha 90.00
_cell_angle_beta 90.00
_cell_angle_gamma 90.00
_space_group_name_H-M_alt 'P 1'
_space_group_IT_number 1
loop_
_space_group_symop_operation_xyz
'x,y,z'
loop_
_atom_site_label
_atom_site_fract_x
_atom_site_fract_y
_atom_site_fract_z
_atom_site_occupancy
Dy1 0.124 0.249 0.250 1
Dy2 0.124 0.251 0.750 1
Dy3 0.357 0.604 0.102 1
Dy4 0.357 0.604 0.398 1
Dy5 0.357 0.896 0.602 1
Dy6 0.357 0.896 0.898 1
Dy7 0.643 0.104 0.102 1
Dy8 0.643 0.104 0.398 1
Dy9 0.643 0.396 0.602 1
Dy10 0.643 0.396 0.898 1
Dy11 0.876 0.749 0.250 1
Dy12 0.876 0.751 0.750 1
Si1 0.097 0.250 0.000 1
Si2 0.097 0.250 0.500 1
Si3 0.361 0.598 0.750 1
Si4 0.361 0.902 0.250 1
Si5 0.639 0.098 0.750 1
Si6 0.639 0.402 0.250 1
Si7 0.903 0.750 0.000 1
Si8 0.903 0.750 0.500 1
Os1 0.148 0.527 0.591 1
Os2 0.148 0.527 0.909 1
Os3 0.148 0.973 0.091 1
Os4 0.148 0.973 0.409 1
Os5 0.852 0.027 0.591 1
Os6 0.852 0.027 0.909 1
Os7 0.852 0.473 0.091 1
Os8 0.852 0.473 0.409 1
```

Record 7
First-principles (PBE-GGA) data for K4ScBr6 after structural relaxation, as listed in the Alexandria database.

Calculated values
Crystal system   tetragonal
Formation energy without anion corrections   -17.969 eV/f.u.
Space-group type   No. 128

Structure (CIF):
```
data_K4ScBr6
_cell_length_a 9.095
_cell_length_b 9.095
_cell_length_c 9.332
_cell_angle_alpha 90.00
_cell_angle_beta 90.00
_cell_angle_gamma 90.00
_space_group_name_H-M_alt 'P 1'
_space_group_IT_number 1
loop_
_space_group_symop_operation_xyz
'x,y,z'
loop_
_atom_site_label
_atom_site_fract_x
_atom_site_fract_y
_atom_site_fract_z
_atom_site_occupancy
K1 0.173 0.327 0.250 1
K2 0.173 0.327 0.750 1
K3 0.327 0.827 0.250 1
K4 0.327 0.827 0.750 1
K5 0.673 0.173 0.250 1
K6 0.673 0.173 0.750 1
K7 0.827 0.673 0.250 1
K8 0.827 0.673 0.750 1
Sc1 0.000 0.000 0.000 1
Sc2 0.500 0.500 0.500 1
Br1 0.000 0.000 0.291 1
Br2 0.000 0.000 0.709 1
Br3 0.094 0.701 0.000 1
Br4 0.201 0.594 0.500 1
Br5 0.299 0.094 0.000 1
Br6 0.406 0.201 0.500 1
Br7 0.500 0.500 0.209 1
Br8 0.500 0.500 0.791 1
Br9 0.594 0.799 0.500 1
Br10 0.701 0.906 0.000 1
Br11 0.799 0.406 0.500 1
Br12 0.906 0.299 0.000 1
```

Record 8
First-principles (PBE-GGA) data for Mg3SnHg3 after structural relaxation, as listed in the Alexandria database.

Calculated values
Excess energy over the best structure of this formula in the dataset   0.051 eV/atom
Crystal system   hexagonal
Space-group type   No. 176

Structure (CIF):
```
data_Mg3SnHg3
_cell_length_a 8.448
_cell_length_b 8.448
_cell_length_c 5.284
_cell_angle_alpha 90.00
_cell_angle_beta 90.00
_cell_angle_gamma 120.00
_space_group_name_H-M_alt 'P 1'
_space_group_IT_number 1
loop_
_space_group_symop_operation_xyz
'x,y,z'
loop_
_atom_site_label
_atom_site_fract_x
_atom_site_fract_y
_atom_site_fract_z
_atom_site_occupancy
Mg1 0.047 0.799 0.250 1
Mg2 0.201 0.248 0.250 1
Mg3 0.248 0.047 0.750 1
Mg4 0.752 0.953 0.250 1
Mg5 0.799 0.752 0.750 1
Mg6 0.953 0.201 0.750 1
Sn1 0.333 0.667 0.250 1
Sn2 0.667 0.333 0.750 1
Hg1 0.093 0.655 0.750 1
Hg2 0.345 0.439 0.750 1
Hg3 0.439 0.093 0.250 1
Hg4 0.561 0.907 0.750 1
Hg5 0.655 0.561 0.250 1
Hg6 0.907 0.345 0.250 1
```

Record 9
First-principles (PBE-GGA) data for La2HBr5 after structural relaxation, as listed in the Alexandria database.

Calculated values
Crystal system   orthorhombic
Space-group type   No. 63
Uncorrected energy   -4.21 eV/atom

Structure (CIF):
```
data_La2HBr5
_cell_length_a 7.508
_cell_length_b 7.508
_cell_length_c 20.276
_cell_angle_alpha 90.00
_cell_angle_beta 90.00
_cell_angle_gamma 150.75
_space_group_name_H-M_alt 'P 1'
_space_group_IT_number 1
loop_
_space_group_symop_operation_xyz
'x,y,z'
loop_
_atom_site_label
_atom_site_fract_x
_atom_site_fract_y
_atom_site_fract_z
_atom_site_occupancy
La1 0.250 0.750 0.656 1
La2 0.250 0.750 0.844 1
La3 0.750 0.250 0.156 1
La4 0.750 0.250 0.344 1
H1 0.201 0.799 0.250 1
H2 0.799 0.201 0.750 1
Br1 0.106 0.894 0.117 1
Br2 0.106 0.894 0.383 1
Br3 0.348 0.652 0.070 1
Br4 0.348 0.652 0.430 1
Br5 0.386 0.614 0.250 1
Br6 0.614 0.386 0.750 1
Br7 0.652 0.348 0.570 1
Br8 0.652 0.348 0.930 1
Br9 0.894 0.106 0.617 1
Br10 0.894 0.106 0.883 1
```

Record 10
First-principles (PBE-GGA) data for BeNb4Si after structural relaxation, as listed in the Alexandria database.

Calculated values
Excess energy over the best structure of this formula in the dataset   0.000 eV/atom
Crystal system   tetragonal
Formation energy without anion corrections   -2.358 eV/f.u.
Space-group type   No. 124

Structure (CIF):
```
data_BeNb4Si
_cell_length_a 6.125
_cell_length_b 6.125
_cell_length_c 5.048
_cell_angle_alpha 90.00
_cell_angle_beta 90.00
_cell_angle_gamma 90.00
_space_group_name_H-M_alt 'P 1'
_space_group_IT_number 1
loop_
_space_group_symop_operation_xyz
'x,y,z'
loop_
_atom_site_label
_atom_site_fract_x
_atom_site_fract_y
_atom_site_fract_z
_atom_site_occupancy
Be1 0.000 0.000 0.250 1
Be2 0.000 0.000 0.750 1
Nb1 0.152 0.329 0.000 1
Nb2 0.152 0.671 0.500 1
Nb3 0.329 0.152 0.500 1
Nb4 0.329 0.848 0.000 1
Nb5 0.671 0.152 0.000 1
Nb6 0.671 0.848 0.500 1
Nb7 0.848 0.329 0.500 1
Nb8 0.848 0.671 0.000 1
Si1 0.500 0.500 0.250 1
Si2 0.500 0.500 0.750 1
```